[1]
Rb3NbI PBEsol relaxed; energy = -0.0920 Ha/atom; ΔE_f (raw) = 303 kJ/mol of formula units; crystal system = cubic
1.0
6.737 0.000 0.000
0.000 6.737 0.000
0.000 0.000 6.737
Rb Nb I
3 1 1
Cartesian
0.000 0.000 3.369 Rb
0.000 3.369 0.000 Rb
3.369 0.000 0.000 Rb
3.369 3.369 3.369 Nb
0.000 0.000 0.000 I

=====

[2]
ZrTa2Al PBEsol relaxed; energy = -0.3478 Ha/atom; crystal system = trigonal
1.0
1.458 0.842 9.951
-1.458 0.842 9.951
0.000 -1.684 9.951
Zr Ta Al
1 2 1
Cartesian
0.000 0.000 0.000 Zr
0.000 0.000 7.293 Ta
0.000 0.000 22.559 Ta
0.000 0.000 14.926 Al

=====

[3]
BeP3 PBEsol relaxed; energy = -0.1917 Ha/atom; crystal system = cubic
1.0
-2.376 2.376 2.376
2.376 -2.376 2.376
2.376 2.376 -2.376
Be P
1 3
Cartesian
0.000 0.000 0.000 Be
2.376 0.000 0.000 P
0.000 2.376 0.000 P
0.000 0.000 2.376 P

=====

[4]
BeCl2 PBEsol relaxed; energy = -0.1502 Ha/atom; ΔE_f (raw) = -410 kJ/mol of formula units; crystal system = tetragonal
1.0
-5.446 5.446 8.945
5.446 -5.446 8.945
5.446 5.446 -8.945
Be Cl
16 32
Cartesian
6.325 4.094 -5.573 Be
1.371 1.844 -1.100 Be
6.325 -1.352 5.573 Be
4.075 1.844 1.100 Be
4.075 -1.844 7.845 Be
6.325 1.352 3.373 Be
6.818 3.602 1.100 Be
0.879 1.352 5.573 Be
4.567 4.094 3.373 Be
-1.371 1.844 7.845 Be
-0.879 4.094 5.573 Be
1.371 7.290 1.100 Be
1.371 3.602 7.845 Be
-0.879 6.798 3.373 Be
4.075 3.602 10.045 Be
-0.879 1.352 14.518 Be
5.446 2.723 -4.360 Cl
2.723 0.815 0.000 Cl
8.579 2.243 -2.247 Cl
4.966 5.037 -6.719 Cl
4.966 0.409 2.226 Cl
2.314 3.203 -2.247 Cl
5.446 2.723 -0.113 Cl
1.908 0.000 4.473 Cl
7.354 0.000 4.473 Cl
0.000 2.723 0.113 Cl
7.760 2.243 2.247 Cl
4.966 -0.409 6.719 Cl
4.966 5.856 -2.226 Cl
3.133 3.203 2.247 Cl
2.723 -0.815 8.945 Cl
0.000 2.723 4.360 Cl
5.446 2.723 4.585 Cl
2.723 6.261 0.000 Cl
2.314 2.243 6.699 Cl
0.480 -0.409 11.171 Cl
0.480 5.856 2.226 Cl
-2.314 3.203 6.699 Cl
5.446 2.723 8.833 Cl
-1.908 5.446 4.473 Cl
3.538 5.446 4.473 Cl
0.000 2.723 9.058 Cl
3.133 2.243 11.192 Cl
0.480 5.037 6.719 Cl
0.480 0.409 15.664 Cl
-3.133 3.203 11.192 Cl
2.723 4.631 8.945 Cl
0.000 2.723 13.305 Cl

=====

[5]
Cr2SbOs PBEsol relaxed; energy = -0.3215 Ha/atom; ΔE_f (raw) = 219 kJ/mol of formula units; crystal system = trigonal
1.0
1.449 0.836 8.051
-1.449 0.836 8.051
0.000 -1.673 8.051
Cr Sb Os
2 1 1
Cartesian
0.000 0.000 0.000 Cr
0.000 0.000 6.422 Cr
0.000 0.000 12.281 Sb
0.000 0.000 18.047 Os

=====

[6]
LiScAg2 PBEsol relaxed; energy = -0.1462 Ha/atom; crystal system = orthorhombic
1.0
2.992 0.000 0.000
0.000 4.784 0.000
0.000 0.000 4.947
Li Sc Ag
1 1 2
Cartesian
0.000 0.000 0.000 Li
0.000 2.392 3.001 Sc
1.496 0.000 2.318 Ag
1.496 2.392 0.530 Ag

=====

[7]
LaAg2Hg PBEsol relaxed; energy = -0.1218 Ha/atom; crystal system = orthorhombic
1.0
3.472 0.000 0.000
0.000 4.885 0.000
0.000 0.000 5.563
La Ag Hg
1 2 1
Cartesian
0.000 0.000 0.000 La
1.736 2.443 1.382 Ag
1.736 2.443 4.181 Ag
1.736 0.000 2.781 Hg

=====

[8]
BeZnGaGe2 PBEsol relaxed; energy = -0.1217 Ha/atom; crystal system = tetragonal
1.0
4.439 0.000 0.000
0.000 4.439 0.000
0.000 0.000 4.491
Be Zn Ga Ge
1 1 1 2
Cartesian
0.000 0.000 0.000 Be
2.219 2.219 2.245 Zn
0.000 0.000 2.245 Ga
0.000 2.219 0.000 Ge
2.219 0.000 0.000 Ge

=====

- energy of number 7 (LaAg2Hg)?
  -0.1218 Ha/atom

=====

- Which formula does entry 8 have?
  BeZnGaGe2

=====

- Which of these has the lowest energy?
  ZrTa2Al